No. 1
A relaxed Na3Sr4Ag crystal, computed with PBE.

Geometry as CIF:
```
data_Na3Sr4Ag
_chemical_formula_sum 'Na3 Sr4 Ag1'
_symmetry_space_group_name_H-M 'P 4/m m m'
_symmetry_Int_Tables_number 123
_symmetry_space_group_name_Hall '-P 4 2'
_cell_length_a 4.071
_cell_length_b 4.071
_cell_length_c 20.096
_cell_angle_alpha 90.00
_cell_angle_beta 90.00
_cell_angle_gamma 90.00
loop_
_atom_site_label
_atom_site_type_symbol
_atom_site_fract_x
_atom_site_fract_y
_atom_site_fract_z
Na1 Na 0.000 0.000 0.000
Na2 Na 0.000 0.000 0.271
Sr1 Sr 0.500 0.500 0.136
Sr2 Sr 0.500 0.500 0.407
Ag1 Ag 0.000 0.000 0.500
```

Values from the calculation:
The calculation puts the magnetization at 0.00 μB/atom. As for the formation enthalpy at 0 K: -0.04 eV/atom. The theoretical density comes out at 2.6 g/cm3. For the volume, the calculation gives 333.0 Å³/cell. The value obtained for the uncorrected energy is -1.734 eV/atom. Its crystal system is tetragonal.

No. 2
A relaxed Th8POs3Se4 crystal, computed with PBE.

Geometry as CIF:
```
data_Th8POs3Se4
_chemical_formula_sum 'Th24 P3 Os9 Se12'
_symmetry_space_group_name_H-M 'R -3 m'
_symmetry_Int_Tables_number 166
_symmetry_space_group_name_Hall '-R 3 2"'
_cell_length_a 8.3110
_cell_length_b 8.3110
_cell_length_c 21.6263
_cell_angle_alpha 90.00
_cell_angle_beta 90.00
_cell_angle_gamma 120.00
loop_
_atom_site_label
_atom_site_type_symbol
_atom_site_fract_x
_atom_site_fract_y
_atom_site_fract_z
Th1 Th 0.0000 0.0000 0.2382
Th2 Th 0.0091 0.5046 0.7597
P1 P 0.0000 0.0000 0.5000
Os1 Os 0.0000 0.5000 0.5000
Se1 Se 0.0000 0.0000 0.0000
Se2 Se 0.0000 0.5000 0.0000
```

Values from the calculation:
The calculation puts the magnetization at 0.00 μB/atom. The theoretical density comes out at 10.7 g/cm3. For the volume, the calculation gives 1293.7 Å³/cell. Its uncorrected formation energy is -1125 meV per atom. The value obtained for the uncorrected energy is -8.150 eV/atom. Its crystal system is trigonal.

No. 3
A relaxed PmY2UO8 crystal, computed with PBE.

Geometry as CIF:
```
data_PmY2UO8
_chemical_formula_sum 'Pm1 Y2 U1 O8'
_symmetry_space_group_name_H-M 'P m m m'
_symmetry_Int_Tables_number 47
_cell_length_a 3.909
_cell_length_b 5.367
_cell_length_c 7.606
_cell_angle_alpha 90.00
_cell_angle_beta 90.00
_cell_angle_gamma 90.00
loop_
_symmetry_equiv_pos_as_xyz
'x,y,z'
'-x,-y,-z'
'-x,-y,z'
'x,y,-z'
'x,-y,-z'
'-x,y,z'
'-x,y,-z'
'x,-y,z'
loop_
_atom_site_label
_atom_site_type_symbol
_atom_site_fract_x
_atom_site_fract_y
_atom_site_fract_z
Pm1 Pm 0.000 0.000 0.000
Y1 Y 0.500 0.500 0.253
U1 U 0.000 0.000 0.500
O1 O 0.000 0.243 0.277
O2 O 0.500 0.230 0.500
O3 O 0.500 0.259 0.000
```

Values from the calculation:
The calculation puts the magnetization at 0.00 μB/atom. The theoretical density comes out at 7.2 g/cm3. For the volume, the calculation gives 159.6 Å³/cell. Its uncorrected formation energy is -3239 meV per atom. The value obtained for the uncorrected energy is -8.959 eV/atom. Its crystal system is orthorhombic.

No. 4
A relaxed Bi3MoH crystal, computed with PBE.

Geometry as CIF:
```
data_Bi3MoH
_chemical_formula_sum 'Bi3 Mo1 H1'
_symmetry_space_group_name_H-M 'P m -3 m'
_symmetry_Int_Tables_number 221
_symmetry_space_group_name_Hall '-P 4 2 3'
_cell_length_a 4.853
_cell_length_b 4.853
_cell_length_c 4.853
_cell_angle_alpha 90.00
_cell_angle_beta 90.00
_cell_angle_gamma 90.00
loop_
_atom_site_label
_atom_site_type_symbol
_atom_site_fract_x
_atom_site_fract_y
_atom_site_fract_z
Bi1 Bi 0.000 0.000 0.500
Mo1 Mo 0.500 0.500 0.500
H1 H 0.000 0.000 0.000
```

Values from the calculation:
The calculation puts the magnetization at 0.62 μB/atom. The theoretical density comes out at 10.5 g/cm3. For the volume, the calculation gives 114.3 Å³/cell. The value obtained for the uncorrected energy is -4.341 eV/atom. Its crystal system is cubic.

No. 5
A relaxed Sc4AgHg5 crystal, computed with PBE.

Geometry as CIF:
```
data_Sc4AgHg5
_chemical_formula_sum 'Sc4 Ag1 Hg5'
_symmetry_space_group_name_H-M 'P 4/m m m'
_symmetry_Int_Tables_number 123
_symmetry_space_group_name_Hall '-P 4 2'
_cell_length_a 3.524
_cell_length_b 3.524
_cell_length_c 17.243
_cell_angle_alpha 90.00
_cell_angle_beta 90.00
_cell_angle_gamma 90.00
loop_
_atom_site_label
_atom_site_type_symbol
_atom_site_fract_x
_atom_site_fract_y
_atom_site_fract_z
Sc1 Sc 0.000 0.000 0.102
Sc2 Sc 0.000 0.000 0.306
Ag1 Ag 0.000 0.000 0.500
Hg1 Hg 0.500 0.500 0.000
Hg2 Hg 0.500 0.500 0.201
Hg3 Hg 0.500 0.500 0.402
```

Values from the calculation:
The calculation puts the magnetization at 0.00 μB/atom. As for the formation enthalpy at 0 K: -0.34 eV/atom. The theoretical density comes out at 10.0 g/cm3. For the volume, the calculation gives 214.1 Å³/cell. The value obtained for the uncorrected energy is -3.307 eV/atom. Its crystal system is tetragonal.

No. 6
A relaxed ReSb2Pb crystal, computed with PBE.

Geometry as CIF:
```
data_ReSb2Pb
_chemical_formula_sum 'Re2 Sb4 Pb2'
_symmetry_space_group_name_H-M 'I m m 2'
_symmetry_Int_Tables_number 44
_cell_length_a 3.288
_cell_length_b 4.032
_cell_length_c 15.745
_cell_angle_alpha 90.00
_cell_angle_beta 90.00
_cell_angle_gamma 90.00
loop_
_symmetry_equiv_pos_as_xyz
'x,y,z'
'-x,-y,z'
'-x,y,z'
'x,-y,z'
'x+1/2,y+1/2,z+1/2'
'-x+1/2,-y+1/2,z+1/2'
'-x+1/2,y+1/2,z+1/2'
'x+1/2,-y+1/2,z+1/2'
loop_
_atom_site_label
_atom_site_type_symbol
_atom_site_fract_x
_atom_site_fract_y
_atom_site_fract_z
Re1 Re 0.000 0.000 0.000
Sb1 Sb 0.000 0.000 0.442
Sb2 Sb 0.000 0.500 0.634
Pb1 Pb 0.000 0.500 0.286
```

Values from the calculation:
The calculation puts the magnetization at 0.00 μB/atom. The theoretical density comes out at 10.1 g/cm3. For the volume, the calculation gives 208.8 Å³/cell. Its uncorrected formation energy is 424 meV per atom. The value obtained for the uncorrected energy is -5.677 eV/atom. Its crystal system is orthorhombic.

No. 7
A relaxed Er6Cd3Ru crystal, computed with PBE.

Geometry as CIF:
```
data_Er6Cd3Ru
_chemical_formula_sum 'Er12 Cd6 Ru2'
_symmetry_space_group_name_H-M 'P 1 21/m 1'
_symmetry_Int_Tables_number 11
_cell_length_a 9.050
_cell_length_b 5.236
_cell_length_c 11.282
_cell_angle_alpha 90.00
_cell_angle_beta 108.49
_cell_angle_gamma 90.00
loop_
_symmetry_equiv_pos_as_xyz
'x,y,z'
'-x,-y,-z'
'-x,y+1/2,-z'
'x,-y+1/2,z'
loop_
_atom_site_label
_atom_site_type_symbol
_atom_site_fract_x
_atom_site_fract_y
_atom_site_fract_z
Er1 Er 0.034 0.250 0.414
Er2 Er 0.193 0.750 0.166
Er3 Er 0.281 0.250 0.003
Er4 Er 0.348 0.750 0.833
Er5 Er 0.379 0.250 0.345
Er6 Er 0.389 0.250 0.650
Cd1 Cd 0.007 0.750 0.871
Cd2 Cd 0.083 0.250 0.720
Cd3 Cd 0.271 0.750 0.474
Ru1 Ru 0.463 0.750 0.094
```

Values from the calculation:
The calculation puts the magnetization at 0.00 μB/atom. As for the formation enthalpy at 0 K: -0.28 eV/atom. The theoretical density comes out at 9.4 g/cm3. For the volume, the calculation gives 507.0 Å³/cell. The value obtained for the uncorrected energy is -4.223 eV/atom. Its crystal system is monoclinic.